Compound: TlNiF3
Source: Alexandria via LeMat-Bulk
Functional: GGA+U
Structure: optimized geometry

Cell: 7.552 7.552 7.552 Å, 42.28 42.28 42.28°
Sites, in units of the cell vectors:
Tl  0.124  0.124  0.124
Tl  0.876  0.876  0.876
Ni  0.334  0.334  0.334
Ni  0.666  0.666  0.666
F  0.053  0.678  0.431
F  0.322  0.569  0.947
F  0.431  0.053  0.678
F  0.569  0.947  0.322
F  0.678  0.431  0.053
F  0.947  0.322  0.569

Properties
Calculated total energy ... -20.66 eV/f.u.
SG ... R-3
Total magnetization ... 2.0 μB/f.u.
DOS at the Fermi energy ... 0.0 states/eV per cell